The following is a PBE-GGA calculation of YFeTe2 after structural relaxation, from Alexandria.

CIF file:
```
data_YFeTe2
_symmetry_space_group_name_H-M 'R 3 m'
_symmetry_Int_Tables_number 160
_symmetry_space_group_name_Hall 'R 3 -2"'
_cell_length_a 4.1167
_cell_length_b 4.1167
_cell_length_c 20.9563
_cell_angle_alpha 90.00
_cell_angle_beta 90.00
_cell_angle_gamma 120.00
loop_
_atom_site_label
_atom_site_type_symbol
_atom_site_fract_x
_atom_site_fract_y
_atom_site_fract_z
_atom_site_occupancy
Y1 Y 0.0000 0.0000 0.0000 1
Fe1 Fe 0.0000 0.0000 0.8342 1
Te1 Te 0.0000 0.0000 0.2400 1
Te2 Te 0.0000 0.0000 0.4305 1
```

raw total energy	-70.0	eV per cell
crystal system	trigonal